A relaxed KSbW crystal, computed with GGA-PBEsol.

```
KSbW
1.0
-1.787 1.787 6.356
1.787 -1.787 6.356
1.787 1.787 -6.356
K Sb W
1 1 1
direct
0.000 0.000 0.000 K
0.719 0.719 0.000 Sb
0.288 0.288 0.000 W
```

Its total DFT energy (no corrections) is -16.9 eV per cell. As for the energy relative to the elements, uncorrected: 0.863 eV per atom. The space group is I4mm (107).